1.
Here is an optimized crystal structure of Hf5BiPb from the Alexandria database. Energies are from GGA-PBE.

Output
Total DFT energy (no corrections) (eV per atom): -7.9319
ρ (kg/m3): 11966

Cell: 12.7724 8.4152 7.6289 Å, 90.00 117.64 90.00°
Space group C2/c (No. 15)
Inequivalent atoms, fractional coordinates:
Hf 0.0000 0.0878 0.2500 (multiplicity 4)
Hf 0.0678 0.2168 0.6452 (multiplicity 8)
Hf 0.1967 0.0999 0.0789 (multiplicity 8)
Bi 0.2500 0.2500 0.5000 (multiplicity 4)
Pb 0.0000 0.4594 0.2500 (multiplicity 4)

2.
Here is an optimized crystal structure of Hf2BiPb2 from the Alexandria database. Energies are from GGA-PBE.

Output
Total DFT energy (no corrections) (eV per atom): -6.1874
ρ (kg/m3): 12511
Excess energy over the best structure of this formula in the dataset (meV per atom): 0

Cell: 7.7408 7.7408 4.3431 Å, 90.00 90.00 90.00°
Space group P4/mbm (No. 127)
Inequivalent atoms, fractional coordinates:
Hf 0.1382 0.3618 0.0000 (multiplicity 4)
Bi 0.0000 0.0000 0.0000 (multiplicity 2)
Pb 0.1639 0.6639 0.5000 (multiplicity 4)

3.
Here is an optimized crystal structure of Hf6BiPb from the Alexandria database. Energies are from GGA-PBE.

Output
Total DFT energy (no corrections) (eV per atom): -8.4261
ρ (kg/m3): 13728
Excess energy over the best structure of this formula in the dataset (meV per atom): 0

Cell: 8.8515 8.8684 4.5831 Å, 90.00 90.00 90.00°
Space group Cmmm (No. 65)
Inequivalent atoms, fractional coordinates:
Hf 0.0000 0.2497 0.0000 (multiplicity 4)
Hf 0.2499 0.0000 0.0000 (multiplicity 4)
Hf 0.2500 0.2500 0.5000 (multiplicity 4)
Bi 0.0000 0.0000 0.5000 (multiplicity 2)
Pb 0.0000 0.5000 0.5000 (multiplicity 2)

4.
Here is an optimized crystal structure of HfBiPb3 from the Alexandria database. Energies are from GGA-PBE.

Output
Total DFT energy (no corrections) (eV per atom): -4.5041
ρ (kg/m3): 9229
Excess energy over the best structure of this formula in the dataset (meV per atom): 0

Cell: 5.6625 5.6625 5.6625 Å, 90.00 90.00 90.00°
Space group Pm-3m (No. 221)
Inequivalent atoms, fractional coordinates:
Hf 0.0000 0.0000 0.0000 (multiplicity 1)
Bi 0.5000 0.5000 0.5000 (multiplicity 1)
Pb 0.0000 0.0000 0.5000 (multiplicity 3)

5.
Here is an optimized crystal structure of HfBiPb3 from the Alexandria database. Energies are from GGA-PBE.

Output
Total DFT energy (no corrections) (eV per atom): -3.7246
ρ (kg/m3): 8287
Excess energy over the best structure of this formula in the dataset (meV per atom): 780

Cell: 5.8693 5.8693 5.8693 Å, 90.00 90.00 90.00°
Space group Pm-3m (No. 221)
Inequivalent atoms, fractional coordinates:
Hf 0.0000 0.0000 0.0000 (multiplicity 1)
Bi 0.5000 0.5000 0.5000 (multiplicity 1)
Pb 0.0000 0.5000 0.5000 (multiplicity 3)

6.
Here is an optimized crystal structure of HfBi3Pb from the Alexandria database. Energies are from GGA-PBE.

Output
Total DFT energy (no corrections) (eV per atom): -4.7565
ρ (kg/m3): 9259
Excess energy over the best structure of this formula in the dataset (meV per atom): 0

Cell: 5.6630 5.6630 5.6630 Å, 90.00 90.00 90.00°
Space group Pm-3m (No. 221)
Inequivalent atoms, fractional coordinates:
Hf 0.0000 0.0000 0.0000 (multiplicity 1)
Bi 0.0000 0.0000 0.5000 (multiplicity 3)
Pb 0.5000 0.5000 0.5000 (multiplicity 1)

7.
Here is an optimized crystal structure of Hf2BiPb2 from the Alexandria database. Energies are from GGA-PBE.

Output
Total DFT energy (no corrections) (eV per atom): -6.0175
ρ (kg/m3): 12257
Excess energy over the best structure of this formula in the dataset (meV per atom): 170

Cell: 9.0223 9.0223 3.2632 Å, 90.00 90.00 90.00°
Space group P4/mbm (No. 127)
Inequivalent atoms, fractional coordinates:
Hf 0.1230 0.3770 0.0000 (multiplicity 4)
Bi 0.0000 0.0000 0.5000 (multiplicity 2)
Pb 0.1703 0.6703 0.5000 (multiplicity 4)

8.
Here is an optimized crystal structure of RbHfBiPb2 from the Alexandria database. Energies are from GGA-PBE.

Output
Total DFT energy (no corrections) (eV per atom): -4.4582
ρ (kg/m3): 7798

Cell: 5.7561 5.7561 5.7032 Å, 90.00 90.00 90.00°
Space group P4/mmm (No. 123)
Inequivalent atoms, fractional coordinates:
Rb 0.0000 0.0000 0.0000 (multiplicity 1)
Hf 0.5000 0.5000 0.5000 (multiplicity 1)
Bi 0.5000 0.5000 0.0000 (multiplicity 1)
Pb 0.0000 0.5000 0.5000 (multiplicity 2)

9.
Here is an optimized crystal structure of RbHfBi2Pb from the Alexandria database. Energies are from GGA-PBE.

Output
Total DFT energy (no corrections) (eV per atom): -4.5223
ρ (kg/m3): 7765

Cell: 5.7462 5.7462 5.7588 Å, 90.00 90.00 90.00°
Space group P4/mmm (No. 123)
Inequivalent atoms, fractional coordinates:
Rb 0.0000 0.0000 0.0000 (multiplicity 1)
Hf 0.5000 0.5000 0.5000 (multiplicity 1)
Bi 0.0000 0.5000 0.5000 (multiplicity 2)
Pb 0.5000 0.5000 0.0000 (multiplicity 1)

10.
Here is an optimized crystal structure of HfBiPbSe2 from the Alexandria database. Energies are from GGA-PBE.

Output
Raw formation energy (kJ/mol of formula units): -117
Total DFT energy (no corrections) (eV per atom): -5.1441
ρ (kg/m3): 7002

Cell: 5.3638 5.3638 6.2036 Å, 90.00 90.00 90.00°
Space group P4/mmm (No. 123)
Inequivalent atoms, fractional coordinates:
Hf 0.0000 0.0000 0.0000 (multiplicity 1)
Bi 0.0000 0.0000 0.5000 (multiplicity 1)
Pb 0.5000 0.5000 0.5000 (multiplicity 1)
Se 0.0000 0.5000 0.0000 (multiplicity 2)

11.
Here is an optimized crystal structure of Hf2ZrBiPb from the Alexandria database. Energies are from GGA-PBE.

Output
Total DFT energy (no corrections) (eV per atom): -6.1199
ρ (kg/m3): 9170

Cell: 5.3611 5.3611 5.4463 Å, 90.00 90.00 90.00°
Space group P4/mmm (No. 123)
Inequivalent atoms, fractional coordinates:
Hf 0.0000 0.5000 0.0000 (multiplicity 2)
Zr 0.0000 0.0000 0.5000 (multiplicity 1)
Bi 0.0000 0.0000 0.0000 (multiplicity 1)
Pb 0.5000 0.5000 0.5000 (multiplicity 1)

12.
Here is an optimized crystal structure of Hf2BiPd2 from the Alexandria database. Energies are from GGA-PBE.

Output
Total DFT energy (no corrections) (eV per atom): -7.1660
ρ (kg/m3): 11488
Excess energy over the best structure of this formula in the dataset (meV per atom): 179

Cell: 4.5210 4.5210 11.0158 Å, 90.00 90.00 90.00°
Space group I4/mmm (No. 139)
Inequivalent atoms, fractional coordinates:
Hf 0.0000 0.5000 0.2500 (multiplicity 4)
Bi 0.0000 0.0000 0.0000 (multiplicity 2)
Pd 0.0000 0.0000 0.3809 (multiplicity 4)

13.
Here is an optimized crystal structure of Hf2BiPd2 from the Alexandria database. Energies are from GGA-PBE.

Output
Total DFT energy (no corrections) (eV per atom): -7.2142
ρ (kg/m3): 12405
Excess energy over the best structure of this formula in the dataset (meV per atom): 130

Cell: 7.9316 7.9316 3.3143 Å, 90.00 90.00 90.00°
Space group P4/mbm (No. 127)
Inequivalent atoms, fractional coordinates:
Hf 0.1561 0.3439 0.0000 (multiplicity 4)
Bi 0.0000 0.0000 0.0000 (multiplicity 2)
Pd 0.1293 0.6293 0.5000 (multiplicity 4)